The following is a DFT calculation (PBE) of an optimized crystal structure of CdCuW4.

## Properties
D(E_F)   6.181 states/eV per cell
DFT formation energy   0.810 eV/atom
E   -51.96 eV for the cell shown
Size of the total moment   0.00 μB per formula unit

Cell and atoms, written as extended XYZ:
```
6
Lattice="3.2238 -3.2671 2.6875 0.5978 0.5815 5.2530 -2.0453 -3.6122 3.3253" Properties=species:S:1:pos:R:3 pbc="T T T"
W 0.6654 -2.3592 4.2204
W 2.2823 -3.9978 5.5683
Cu 0.0000 0.0000 0.0000
W 0.9652 -2.0676 6.8549
W -0.3603 -4.1709 5.8882
Cd 1.3322 -4.7233 8.4494
```